A plane-wave DFT calculation with meta-GGA SCAN was carried out for a crystal of Cd2InP2 relaxed with PBEsol.

Output
* energy relative to the elements: 7.627 kcal/mol of atoms
* size of the total moment: 0.00 μB/f.u.
* density of states at the Fermi level: 1.70 states/eV per cell
* electronic total energy: -22.672 eV per atom
* SG: No. 139

```
5
Lattice="-2.417 -2.166 -2.700 3.212 -0.175 -2.734 1.444 -3.991 5.210" Properties=species:S:1:pos:R:3 pbc="T T T"
In 0.000 0.000 0.000
P 2.526 -2.668 -0.121
P -0.288 -3.664 -0.103
Cd 1.426 -3.998 1.931
Cd 0.813 -2.335 -2.155
```